Entry 1:
CsMnP4O12: relaxed, GGA-PBEsol.

Values from the calculation:
V in Å³ per cell: 519.43
Magnetic moment in μB per atom: 0.22
Formation energy from raw total energies in meV per atom: -2115

abc: 5.240 13.652 7.431
angles: 90.00 102.31 90.00
Fractional positions:
Cs1 0.110 0.000 0.330
Cs2 0.890 0.500 0.670
Mn1 0.003 0.731 0.014
Mn2 0.997 0.231 0.986
P1 0.287 0.317 0.363
P2 0.365 0.674 0.403
P3 0.497 0.091 0.930
P4 0.498 0.371 0.052
P5 0.502 0.871 0.948
P6 0.503 0.591 0.070
P7 0.635 0.174 0.597
P8 0.713 0.817 0.637
O1 0.126 0.714 0.271
O2 0.133 0.236 0.244
O3 0.154 0.405 0.409
O4 0.239 0.099 0.981
O5 0.248 0.863 0.006
O6 0.269 0.314 0.939
O7 0.281 0.653 0.965
O8 0.335 0.619 0.568
O9 0.392 0.482 0.038
O10 0.443 0.267 0.548
O11 0.468 0.108 0.714
O12 0.471 0.845 0.735
O13 0.529 0.345 0.265
O14 0.532 0.608 0.286
O15 0.557 0.767 0.452
O16 0.608 0.982 0.962
O17 0.665 0.119 0.432
O18 0.719 0.153 0.035
O19 0.731 0.814 0.061
O20 0.752 0.363 0.994
O21 0.761 0.599 0.019
O22 0.846 0.905 0.591
O23 0.867 0.736 0.756
O24 0.874 0.214 0.729

Entry 2:
ReP2OsS: relaxed, GGA-PBEsol.

Values from the calculation:
V in Å³ per cell: 90.47
Magnetic moment in μB per atom: 0.08
Formation energy from raw total energies in meV per atom: 1470

abc: 4.532 4.532 4.406
angles: 90.00 90.00 90.00
Fractional positions:
Re1 0.000 0.000 0.000
P1 0.000 0.500 0.000
P2 0.500 0.000 0.000
Os1 0.500 0.500 0.500
S1 0.000 0.000 0.500

Entry 3:
Ca2YCr: relaxed, GGA-PBEsol.

Values from the calculation:
V in Å³ per cell: 119.89
ΔH_f (0 K) in meV per atom: 531
Magnetic moment in μB per atom: 0.97
ΔE to the lowest computed polymorph in meV/atom: 0

abc: 3.676 3.676 8.872
angles: 90.00 90.00 90.00
Fractional positions:
Ca1 0.000 0.000 0.210
Ca2 0.000 0.000 0.790
Y1 0.500 0.500 0.500
Cr1 0.500 0.500 0.000